[1]
{
  "formula": "DyMg4Ga2",
  "functional": "PBE-GGA",
  "state": "relaxed",
  "lattice_angstrom": [[-3.077, -1.985, -2.245], [2.941, -1.226, -2.947], [-0.109, -6.276, 5.698]],
  "species": ["Dy", "Mg", "Mg", "Mg", "Mg", "Ga", "Ga"],
  "fractional_positions": [[0.000, 0.000, 0.000], [0.500, 0.824, 0.647], [0.000, 0.679, 0.357], [0.500, 0.176, 0.353], [0.000, 0.321, 0.643], [0.500, 0.574, 0.148], [0.500, 0.426, 0.852]],
  "ef_ev_per_atom": -0.246,
  "final_energy_ev_per_atom": -2.679,
  "n_ef_per_ev_cell": 3.2,
  "total_magnetization_mub_per_cell": 0.00
}


[2]
{
  "formula": "Na16Tl12In",
  "functional": "PBE-GGA",
  "state": "relaxed",
  "lattice_angstrom": [[9.810, -0.053, -3.462], [-4.890, 8.504, -3.462], [-0.037, -0.063, 10.303]],
  "species": ["Na", "Na", "Na", "Na", "Na", "Na", "Na", "Na", "Na", "Na", "Na", "Na", "Na", "Na", "Na", "Na", "Tl", "Tl", "Tl", "Tl", "Tl", "Tl", "Tl", "Tl", "Tl", "Tl", "Tl", "Tl", "In"],
  "fractional_positions": [[0.346, 0.346, 0.339], [0.003, 0.003, 0.001], [0.001, 0.001, 0.662], [0.309, 0.309, 0.723], [0.691, 0.419, 0.005], [0.585, 0.274, 0.584], [0.994, 0.687, 0.410], [0.998, 0.664, 0.001], [0.718, 0.310, 0.307], [0.415, 0.001, 0.693], [0.001, 0.415, 0.693], [0.310, 0.718, 0.307], [0.664, 0.998, 0.001], [0.687, 0.994, 0.410], [0.274, 0.585, 0.584], [0.419, 0.691, 0.005], [0.805, 0.805, 0.187], [0.614, 0.614, 0.799], [0.387, 0.197, 0.004], [0.810, 0.620, 0.620], [0.189, 0.997, 0.383], [0.374, 0.994, 0.188], [0.193, 0.812, 0.808], [0.812, 0.193, 0.808], [0.994, 0.374, 0.188], [0.997, 0.189, 0.383], [0.620, 0.810, 0.620], [0.197, 0.387, 0.004], [0.595, 0.595, 0.283]],
  "ef_ev_per_atom": -0.102,
  "final_energy_ev_per_atom": -1.903,
  "n_ef_per_ev_cell": 10.9,
  "total_magnetization_mub_per_cell": 0.00
}